Record 1
A plane-wave DFT calculation with PBE was carried out for a relaxed structure of Pr2Cu5Ni2Ag.

Unit cell a=3.880 b=9.266 c=9.266 alpha=90.00 beta=90.00 gamma=90.00
Fractional coordinates of all 20 atoms:
Pr 0.000 0.684 0.184
Pr 0.000 0.316 0.816
Pr 0.000 0.184 0.316
Pr 0.000 0.816 0.684
Cu 0.500 0.211 0.056
Cu 0.500 0.789 0.944
Cu 0.500 0.056 0.789
Cu 0.500 0.711 0.444
Cu 0.500 0.944 0.211
Cu 0.500 0.289 0.556
Cu 0.500 0.556 0.711
Cu 0.500 0.444 0.289
Cu 0.500 0.500 0.000
Cu 0.500 0.000 0.500
Ni 0.000 0.112 0.612
Ni 0.000 0.888 0.388
Ni 0.000 0.612 0.888
Ni 0.000 0.388 0.112
Ag 0.000 0.000 0.000
Ag 0.000 0.500 0.500

Values from the calculation:
DFT formation energy = -0.088 eV per atom



Record 2
A plane-wave DFT calculation with PBE was carried out for a relaxed structure of FeCu2Pt.

Unit cell a=8.641 b=8.641 c=8.641 alpha=17.82 beta=17.82 gamma=17.82
Site moments in Bohr magnetons follow the coordinates.
Fractional coordinates of all 4 atoms:
Cu 0.996 0.996 0.996  0.00
Cu 0.250 0.250 0.250  0.02
Fe 0.503 0.503 0.503  2.77
Pt 0.751 0.751 0.751  0.17

Values from the calculation:
DFT formation energy = -0.025 eV per atom



Record 3
A plane-wave DFT calculation with PBE was carried out for a relaxed structure of PrNpS4.

Unit cell a=4.172 b=6.378 c=6.378 alpha=90.87 beta=90.00 gamma=90.00
Site moments in Bohr magnetons follow the coordinates.
Fractional coordinates of all 6 atoms:
Pr 0.500 0.000 0.000  -0.02
Np 0.000 0.500 0.500  2.66
S 0.000 0.212 0.212  -0.10
S 0.000 0.788 0.788  -0.10
S 0.500 0.681 0.319  -0.13
S 0.500 0.319 0.681  -0.13

Values from the calculation:
Formation energy without anion corrections = -1.3534 eV/atom
Excess energy over the best structure of this formula in the dataset = 0 meV/atom



Record 4
A plane-wave DFT calculation with PBE was carried out for a relaxed structure of TcP2PdPb.

Unit cell a=5.107 b=5.219 c=5.107 alpha=90.00 beta=90.00 gamma=90.00
Site moments in Bohr magnetons follow the coordinates.
Fractional coordinates of all 5 atoms:
Pb 0.000 0.000 0.000  -0.04
P 0.000 0.000 0.500  -0.02
P 0.500 0.000 0.000  -0.05
Tc 0.000 0.500 0.000  2.94
Pd 0.500 0.500 0.500  0.00

Values from the calculation:
DFT formation energy = 1.968 eV per atom



Record 5
A plane-wave DFT calculation with PBE was carried out for a relaxed structure of DyCdAg3.

Unit cell a=5.182 b=5.072 c=8.257 alpha=90.09 beta=70.82 gamma=90.18
Fractional coordinates of all 10 atoms:
Dy 0.418 0.344 0.006
Dy 0.993 0.845 0.609
Cd 0.810 0.845 0.019
Cd 0.602 0.344 0.595
Ag 0.218 0.345 0.401
Ag 0.019 0.345 0.810
Ag 0.595 0.844 0.395
Ag 0.816 0.345 0.219
Ag 0.193 0.844 0.214
Ag 0.392 0.843 0.805

Values from the calculation:
DFT formation energy = -0.216 eV per atom
Excess energy over the best structure of this formula in the dataset = 0 meV/atom



Record 6
A plane-wave DFT calculation with PBE was carried out for a relaxed structure of DyZrPb2.

Unit cell a=3.442 b=3.442 c=10.533 alpha=80.60 beta=80.60 gamma=60.00
Fractional coordinates of all 4 atoms:
Pb 0.746 0.746 0.761
Pb 0.254 0.254 0.239
Zr 0.000 0.000 0.000
Dy 0.500 0.500 0.500

Values from the calculation:
DFT formation energy = -0.170 eV per atom